[1]
# PmPr3P4 | the Alexandria database | PBE-GGA | optimized geometry
data_PmPr3P4
_cell_length_a 5.9193
_cell_length_b 5.9193
_cell_length_c 5.9193
_cell_angle_alpha 90.00
_cell_angle_beta 90.00
_cell_angle_gamma 90.00
_symmetry_space_group_name_H-M 'P m -3 m'
_symmetry_Int_Tables_number 221
_symmetry_space_group_name_Hall '-P 4 2 3'
loop_
_atom_site_label
_atom_site_type_symbol
_atom_site_fract_x
_atom_site_fract_y
_atom_site_fract_z
Pm1 Pm 0.0000 0.0000 0.0000
Pr1 Pr 0.0000 0.5000 0.5000
P1 P 0.0000 0.0000 0.5000
P2 P 0.5000 0.5000 0.5000
# Total magnetization: 0.000 μB/cell
# Raw total energy: -6.620 eV/atom
# DFT formation energy: -1.529 eV/atom

***

[2]
# Pm3PrP4 | the Alexandria database | PBE-GGA | optimized geometry
data_Pm3PrP4
_cell_length_a 8.3003
_cell_length_b 11.7336
_cell_length_c 4.1527
_cell_angle_alpha 90.00
_cell_angle_beta 90.00
_cell_angle_gamma 90.00
_symmetry_space_group_name_H-M 'C m m m'
_symmetry_Int_Tables_number 65
_symmetry_space_group_name_Hall '-C 2 2'
loop_
_atom_site_label
_atom_site_type_symbol
_atom_site_fract_x
_atom_site_fract_y
_atom_site_fract_z
Pm1 Pm 0.0000 0.0000 0.0000
Pm2 Pm 0.2500 0.2500 0.5000
Pr1 Pr 0.0000 0.5000 0.0000
P1 P 0.0000 0.2486 0.0000
P2 P 0.2472 0.0000 0.5000
# Total magnetization: 0.000 μB/cell
# Raw total energy: -6.635 eV/atom
# DFT formation energy: -1.551 eV/atom

***

[3]
# PmPr4P5 | the Alexandria database | PBE-GGA | optimized geometry
data_PmPr4P5
_cell_length_a 9.3721
_cell_length_b 9.3721
_cell_length_c 5.9255
_cell_angle_alpha 90.00
_cell_angle_beta 90.00
_cell_angle_gamma 90.00
_symmetry_space_group_name_H-M 'I 4/m'
_symmetry_Int_Tables_number 87
_symmetry_space_group_name_Hall '-I 4'
loop_
_atom_site_label
_atom_site_type_symbol
_atom_site_fract_x
_atom_site_fract_y
_atom_site_fract_z
Pm1 Pm 0.0000 0.0000 0.0000
Pr1 Pr 0.0996 0.2998 0.5000
P1 P 0.0000 0.0000 0.5000
P2 P 0.0993 0.2979 0.0000
# Total magnetization: 0.000 μB/cell
# Raw total energy: -6.618 eV/atom
# DFT formation energy: -1.526 eV/atom

***

[4]
# PmPrP2 | the Alexandria database | PBE-GGA | optimized geometry
data_PmPrP2
_cell_length_a 4.1705
_cell_length_b 4.1705
_cell_length_c 20.4054
_cell_angle_alpha 90.00
_cell_angle_beta 90.00
_cell_angle_gamma 120.00
_symmetry_space_group_name_H-M 'R -3 m'
_symmetry_Int_Tables_number 166
_symmetry_space_group_name_Hall '-R 3 2"'
loop_
_atom_site_label
_atom_site_type_symbol
_atom_site_fract_x
_atom_site_fract_y
_atom_site_fract_z
Pm1 Pm 0.0000 0.0000 0.0000
Pr1 Pr 0.0000 0.0000 0.5000
P1 P 0.0000 0.0000 0.2514
# Total magnetization: 0.000 μB/cell
# Raw total energy: -6.627 eV/atom
# Relative energy among the computed polymorphs: 1 meV/atom
# DFT formation energy: -1.539 eV/atom

***

[5]
# PmPrP2 | the Alexandria database | PBE-GGA | optimized geometry
data_PmPrP2
_cell_length_a 5.8920
_cell_length_b 5.8920
_cell_length_c 11.7974
_cell_angle_alpha 90.00
_cell_angle_beta 90.00
_cell_angle_gamma 90.00
_symmetry_space_group_name_H-M 'I 41/a m d'
_symmetry_Int_Tables_number 141
loop_
_symmetry_equiv_pos_as_xyz
'x,y,z'
'-x,-y,-z'
'-y+1/4,x+3/4,z+1/4'
'y+1/4,-x+3/4,-z+1/4'
'-x+1/2,-y,z+1/2'
'x+1/2,y,-z+1/2'
'y+1/4,-x+1/4,z+3/4'
'-y+1/4,x+1/4,-z+3/4'
'x,-y,-z'
'-x,y,z'
'-y+1/4,-x+1/4,-z+3/4'
'y+1/4,x+1/4,z+3/4'
'-x+1/2,y,-z+1/2'
'x+1/2,-y,z+1/2'
'y+1/4,x+3/4,-z+1/4'
'-y+1/4,-x+3/4,z+1/4'
'x+1/2,y+1/2,z+1/2'
'-x+1/2,-y+1/2,-z+1/2'
'-y+3/4,x+1/4,z+3/4'
'y+3/4,-x+1/4,-z+3/4'
'-x,-y+1/2,z'
'x,y+1/2,-z'
'y+3/4,-x+3/4,z+1/4'
'-y+3/4,x+3/4,-z+1/4'
'x+1/2,-y+1/2,-z+1/2'
'-x+1/2,y+1/2,z+1/2'
'-y+3/4,-x+3/4,-z+1/4'
'y+3/4,x+3/4,z+1/4'
'-x,y+1/2,-z'
'x,-y+1/2,z'
'y+3/4,x+1/4,-z+3/4'
'-y+3/4,-x+1/4,z+3/4'
loop_
_atom_site_label
_atom_site_type_symbol
_atom_site_fract_x
_atom_site_fract_y
_atom_site_fract_z
Pm1 Pm 0.0000 0.2500 0.3750
Pr1 Pr 0.0000 0.2500 0.8750
P1 P 0.0000 0.2500 0.1267
# Total magnetization: 0.000 μB/cell
# Raw total energy: -6.627 eV/atom
# Relative energy among the computed polymorphs: 0 meV/atom
# DFT formation energy: -1.540 eV/atom

***

[6]
# PmPrP2 | the Alexandria database | PBE-GGA | optimized geometry
data_PmPrP2
_cell_length_a 5.0748
_cell_length_b 5.0748
_cell_length_c 3.5858
_cell_angle_alpha 90.00
_cell_angle_beta 90.00
_cell_angle_gamma 90.00
_symmetry_space_group_name_H-M 'P 4/m m m'
_symmetry_Int_Tables_number 123
_symmetry_space_group_name_Hall '-P 4 2'
loop_
_atom_site_label
_atom_site_type_symbol
_atom_site_fract_x
_atom_site_fract_y
_atom_site_fract_z
Pm1 Pm 0.0000 0.0000 0.0000
Pr1 Pr 0.5000 0.5000 0.0000
P1 P 0.0000 0.5000 0.5000
# Total magnetization: 0.000 μB/cell
# Raw total energy: -6.136 eV/atom
# Relative energy among the computed polymorphs: 491 meV/atom
# DFT formation energy: -1.049 eV/atom